1.
The following is a PBEsol calculation of a geometry-optimized Y3HgBi structure, from Alexandria via LeMat-Bulk.

Output
Energy relative to the elements, eV/f.u.: -0.7

Lattice parameters (Å, degrees): 5.518 5.518 5.518 90.00 90.00 90.00
Space group Pm-3m (No. 221)
Unique sites:
Y1 0.000 0.000 0.500 (multiplicity 3)
Hg1 0.000 0.000 0.000 (multiplicity 1)
Bi1 0.500 0.500 0.500 (multiplicity 1)

=====

2.
The following is a PBEsol calculation of a geometry-optimized ZnHg2Bi structure, from Alexandria via LeMat-Bulk.

Output
Energy relative to the elements, eV/f.u.: 0.7

Lattice parameters (Å, degrees): 7.193 7.193 7.193 90.00 90.00 90.00
Space group Fm-3m (No. 225)
Unique sites:
Zn1 0.000 0.000 0.000 (multiplicity 4)
Hg1 0.250 0.250 0.250 (multiplicity 8)
Bi1 0.000 0.000 0.500 (multiplicity 4)

=====

3.
The following is a PBEsol calculation of a geometry-optimized Zr2HgBi structure, from Alexandria via LeMat-Bulk.

Output
Energy relative to the elements, eV/f.u.: -0.8

Lattice parameters (Å, degrees): 7.069 7.069 7.069 90.00 90.00 90.00
Space group Fm-3m (No. 225)
Unique sites:
Zr1 0.250 0.250 0.250 (multiplicity 8)
Hg1 0.000 0.000 0.000 (multiplicity 4)
Bi1 0.000 0.000 0.500 (multiplicity 4)

=====

Copy entry 2 word for word.
The following is a PBEsol calculation of a geometry-optimized ZnHg2Bi structure, from Alexandria via LeMat-Bulk.

Output
Energy relative to the elements, eV/f.u.: 0.7

Lattice parameters (Å, degrees): 7.193 7.193 7.193 90.00 90.00 90.00
Space group Fm-3m (No. 225)
Unique sites:
Zn1 0.000 0.000 0.000 (multiplicity 4)
Hg1 0.250 0.250 0.250 (multiplicity 8)
Bi1 0.000 0.000 0.500 (multiplicity 4)

=====

> Which formula does entry 1 have?

Y3HgBi

=====

Copy entry 3 word for word.
The following is a PBEsol calculation of a geometry-optimized Zr2HgBi structure, from Alexandria via LeMat-Bulk.

Output
Energy relative to the elements, eV/f.u.: -0.8

Lattice parameters (Å, degrees): 7.069 7.069 7.069 90.00 90.00 90.00
Space group Fm-3m (No. 225)
Unique sites:
Zr1 0.250 0.250 0.250 (multiplicity 8)
Hg1 0.000 0.000 0.000 (multiplicity 4)
Bi1 0.000 0.000 0.500 (multiplicity 4)